Density functional theory data (PBE+U) for Li2HoCrF8 after structural relaxation.

- E: -0.427 Ry per atom
- N(E_F): 0.000 states/eV/f.u.
- Space-group type: P2/m, No. 10

a b c (Å): 4.759 4.763 6.554
angles (deg): 90.00 90.00 89.61
Last column: magnetic moment on the atom in μB.
Atoms (fractional coordinates):
Li: 0.500 0.500 0.765  0.00
Li: 0.500 0.500 0.235  0.00
Ho: 0.000 0.000 0.500  0.00
Cr: 0.000 0.000 0.000  2.94
F: 0.193 0.804 0.226  0.00
F: 0.713 0.716 0.000  0.00
F: 0.807 0.196 0.226  0.00
F: 0.807 0.196 0.774  0.00
F: 0.287 0.284 0.000  0.00
F: 0.193 0.804 0.774  0.00
F: 0.685 0.688 0.500  0.00
F: 0.315 0.312 0.500  0.00